Computed, not measured: a relaxed Tb2Sm6Y3In crystal at the PBE level of DFT.

The structure in POSCAR format:
```
Tb2Sm6Y3In
1.0
-5.281 1.208 -2.979
2.700 -5.530 -0.595
-5.157 -2.467 10.292
Tb Sm Y In
2 6 3 1
Direct
0.334 0.666 0.000
0.666 0.334 0.000
0.918 0.590 0.753
0.755 0.755 0.248
0.082 0.410 0.247
0.590 0.918 0.753
0.245 0.245 0.752
0.410 0.082 0.247
0.167 0.833 0.500
0.833 0.167 0.500
0.500 0.500 0.500
0.000 0.000 0.000
```

Values from the calculation:
As for the formation energy from the elements: -0.5 eV/f.u. The space group is C2/m. The mass density comes out at 6.9 Mg/m³. The value obtained for the total energy is -60.19 eV/cell. The spin magnetization is 0.00 μB per formula unit.